i) VASP calculation (PBE-GGA) on crystalline CsInI2N at its relaxed geometry.

Computed properties:
- V (Å³ per cell) = 180.9

```
data_CsInI2N
_chemical_formula_sum 'Cs1 In1 I2 N1'
_cell_length_a 6.3272
_cell_length_b 6.3272
_cell_length_c 4.5186
_cell_angle_alpha 90.00
_cell_angle_beta 90.00
_cell_angle_gamma 90.00
_space_group_name_H-M_alt 'P 1'
_space_group_IT_number 1
_space_group_name_Hall 'P 1'
loop_
_atom_site_label
_atom_site_type_symbol
_atom_site_fract_x
_atom_site_fract_y
_atom_site_fract_z
_atom_site_occupancy
Cs1 Cs 0.0000 0.0000 0.0000 1
In1 In 0.5000 0.5000 0.5000 1
I1 I 0.0000 0.5000 0.5000 1
I2 I 0.5000 0.0000 0.5000 1
N1 N 0.5000 0.5000 0.0000 1
```

ii) VASP calculation (PBE-GGA) on crystalline CsInI2N at its relaxed geometry.

Computed properties:
- V (Å³ per cell) = 240.0

```
data_CsInI2N
_chemical_formula_sum 'Cs1 In1 I2 N1'
_cell_length_a 7.0723
_cell_length_b 7.0723
_cell_length_c 4.7989
_cell_angle_alpha 90.00
_cell_angle_beta 90.00
_cell_angle_gamma 90.00
_space_group_name_H-M_alt 'P 1'
_space_group_IT_number 1
_space_group_name_Hall 'P 1'
loop_
_atom_site_label
_atom_site_type_symbol
_atom_site_fract_x
_atom_site_fract_y
_atom_site_fract_z
_atom_site_occupancy
Cs1 Cs 0.0000 0.0000 0.0000 1
In1 In 0.5000 0.5000 0.5000 1
I1 I 0.0000 0.5000 0.0000 1
I2 I 0.5000 0.0000 0.0000 1
N1 N 0.0000 0.0000 0.5000 1
```

Which structure is the least stable? The one labeled ii).

i) VASP calculation (PBE-GGA) on crystalline CsInIO2 at its relaxed geometry.

Computed properties:
- V (Å³ per cell) = 135.6

```
data_CsInIO2
_chemical_formula_sum 'Cs1 In1 I1 O2'
_cell_length_a 4.7450
_cell_length_b 4.7450
_cell_length_c 6.0220
_cell_angle_alpha 90.00
_cell_angle_beta 90.00
_cell_angle_gamma 90.00
_space_group_name_H-M_alt 'P 1'
_space_group_IT_number 1
_space_group_name_Hall 'P 1'
loop_
_atom_site_label
_atom_site_type_symbol
_atom_site_fract_x
_atom_site_fract_y
_atom_site_fract_z
_atom_site_occupancy
Cs1 Cs 0.0000 0.0000 0.0000 1
In1 In 0.5000 0.5000 0.5000 1
I1 I 0.5000 0.5000 0.0000 1
O1 O 0.0000 0.5000 0.5000 1
O2 O 0.5000 0.0000 0.5000 1
```

ii) VASP calculation (PBE-GGA) on crystalline CsInIO2 at its relaxed geometry.

Computed properties:
- V (Å³ per cell) = 168.4

```
data_CsInIO2
_chemical_formula_sum 'Cs1 In1 I1 O2'
_cell_length_a 4.6884
_cell_length_b 4.6884
_cell_length_c 7.6626
_cell_angle_alpha 90.00
_cell_angle_beta 90.00
_cell_angle_gamma 90.00
_space_group_name_H-M_alt 'P 1'
_space_group_IT_number 1
_space_group_name_Hall 'P 1'
loop_
_atom_site_label
_atom_site_type_symbol
_atom_site_fract_x
_atom_site_fract_y
_atom_site_fract_z
_atom_site_occupancy
Cs1 Cs 0.0000 0.0000 0.0000 1
In1 In 0.5000 0.5000 0.5000 1
I1 I 0.0000 0.0000 0.5000 1
O1 O 0.0000 0.5000 0.0000 1
O2 O 0.5000 0.0000 0.0000 1
```

Which structure is the least stable? The one labeled ii).

i) VASP calculation (PBE-GGA) on crystalline CsInSbI2 at its relaxed geometry.

Computed properties:
- V (Å³ per cell) = 237.1

```
data_CsInSbI2
_chemical_formula_sum 'Cs1 In1 Sb1 I2'
_cell_length_a 6.3982
_cell_length_b 6.3982
_cell_length_c 5.7917
_cell_angle_alpha 90.00
_cell_angle_beta 90.00
_cell_angle_gamma 90.00
_space_group_name_H-M_alt 'P 1'
_space_group_IT_number 1
_space_group_name_Hall 'P 1'
loop_
_atom_site_label
_atom_site_type_symbol
_atom_site_fract_x
_atom_site_fract_y
_atom_site_fract_z
_atom_site_occupancy
Cs1 Cs 0.0000 0.0000 0.0000 1
In1 In 0.5000 0.5000 0.5000 1
Sb1 Sb 0.5000 0.5000 0.0000 1
I1 I 0.0000 0.5000 0.5000 1
I2 I 0.5000 0.0000 0.5000 1
```

ii) VASP calculation (PBE-GGA) on crystalline CsInSbI2 at its relaxed geometry.

Computed properties:
- V (Å³ per cell) = 370.6

```
data_CsInSbI2
_chemical_formula_sum 'Cs1 In1 Sb1 I2'
_cell_length_a 7.2199
_cell_length_b 7.2199
_cell_length_c 7.1092
_cell_angle_alpha 90.00
_cell_angle_beta 90.00
_cell_angle_gamma 90.00
_space_group_name_H-M_alt 'P 1'
_space_group_IT_number 1
_space_group_name_Hall 'P 1'
loop_
_atom_site_label
_atom_site_type_symbol
_atom_site_fract_x
_atom_site_fract_y
_atom_site_fract_z
_atom_site_occupancy
Cs1 Cs 0.0000 0.0000 0.0000 1
In1 In 0.5000 0.5000 0.5000 1
Sb1 Sb 0.0000 0.0000 0.5000 1
I1 I 0.0000 0.5000 0.0000 1
I2 I 0.5000 0.0000 0.0000 1
```

Which structure is the least stable? The one labeled ii).

i) VASP calculation (PBE-GGA) on crystalline CsInSb2I at its relaxed geometry.

Computed properties:
- V (Å³ per cell) = 297.4

```
data_CsInSb2I
_chemical_formula_sum 'Cs1 In1 Sb2 I1'
_cell_length_a 6.5267
_cell_length_b 6.5267
_cell_length_c 6.9816
_cell_angle_alpha 90.00
_cell_angle_beta 90.00
_cell_angle_gamma 90.00
_space_group_name_H-M_alt 'P 1'
_space_group_IT_number 1
_space_group_name_Hall 'P 1'
loop_
_atom_site_label
_atom_site_type_symbol
_atom_site_fract_x
_atom_site_fract_y
_atom_site_fract_z
_atom_site_occupancy
Cs1 Cs 0.0000 0.0000 0.0000 1
In1 In 0.5000 0.5000 0.5000 1
Sb1 Sb 0.0000 0.5000 0.0000 1
Sb2 Sb 0.5000 0.0000 0.0000 1
I1 I 0.0000 0.0000 0.5000 1
```

ii) VASP calculation (PBE-GGA) on crystalline CsInSb2I at its relaxed geometry.

Computed properties:
- V (Å³ per cell) = 223.5

```
data_CsInSb2I
_chemical_formula_sum 'Cs1 In1 Sb2 I1'
_cell_length_a 5.6963
_cell_length_b 5.6963
_cell_length_c 6.8888
_cell_angle_alpha 90.00
_cell_angle_beta 90.00
_cell_angle_gamma 90.00
_space_group_name_H-M_alt 'P 1'
_space_group_IT_number 1
_space_group_name_Hall 'P 1'
loop_
_atom_site_label
_atom_site_type_symbol
_atom_site_fract_x
_atom_site_fract_y
_atom_site_fract_z
_atom_site_occupancy
Cs1 Cs 0.0000 0.0000 0.0000 1
In1 In 0.5000 0.5000 0.5000 1
Sb1 Sb 0.0000 0.5000 0.5000 1
Sb2 Sb 0.5000 0.0000 0.5000 1
I1 I 0.5000 0.5000 0.0000 1
```

Which structure is the least stable? The one labeled i).

i) VASP calculation (PBE-GGA) on crystalline CsInTe2I at its relaxed geometry.

Computed properties:
- V (Å³ per cell) = 364.8

```
data_CsInTe2I
_chemical_formula_sum 'Cs1 In1 Te2 I1'
_cell_length_a 7.2283
_cell_length_b 7.2283
_cell_length_c 6.9825
_cell_angle_alpha 90.00
_cell_angle_beta 90.00
_cell_angle_gamma 90.00
_space_group_name_H-M_alt 'P 1'
_space_group_IT_number 1
_space_group_name_Hall 'P 1'
loop_
_atom_site_label
_atom_site_type_symbol
_atom_site_fract_x
_atom_site_fract_y
_atom_site_fract_z
_atom_site_occupancy
Cs1 Cs 0.0000 0.0000 0.0000 1
In1 In 0.5000 0.5000 0.5000 1
Te1 Te 0.0000 0.5000 0.0000 1
Te2 Te 0.5000 0.0000 0.0000 1
I1 I 0.0000 0.0000 0.5000 1
```

ii) VASP calculation (PBE-GGA) on crystalline CsInTe2I at its relaxed geometry.

Computed properties:
- V (Å³ per cell) = 214.5

```
data_CsInTe2I
_chemical_formula_sum 'Cs1 In1 Te2 I1'
_cell_length_a 5.7770
_cell_length_b 5.7770
_cell_length_c 6.4265
_cell_angle_alpha 90.00
_cell_angle_beta 90.00
_cell_angle_gamma 90.00
_space_group_name_H-M_alt 'P 1'
_space_group_IT_number 1
_space_group_name_Hall 'P 1'
loop_
_atom_site_label
_atom_site_type_symbol
_atom_site_fract_x
_atom_site_fract_y
_atom_site_fract_z
_atom_site_occupancy
Cs1 Cs 0.0000 0.0000 0.0000 1
In1 In 0.5000 0.5000 0.5000 1
Te1 Te 0.0000 0.5000 0.5000 1
Te2 Te 0.5000 0.0000 0.5000 1
I1 I 0.5000 0.5000 0.0000 1
```

Which structure is the least stable? The one labeled i).

i) VASP calculation (PBE-GGA) on crystalline Cs2YInI6 at its relaxed geometry.

Computed properties:
- V (Å³ per cell) = 520.3

```
data_Cs2YInI6
_chemical_formula_sum 'Cs2 Y1 In1 I6'
_cell_length_a 9.0281
_cell_length_b 9.0281
_cell_length_c 9.0281
_cell_angle_alpha 60.00
_cell_angle_beta 60.00
_cell_angle_gamma 60.00
_space_group_name_H-M_alt 'P 1'
_space_group_IT_number 1
_space_group_name_Hall 'P 1'
loop_
_atom_site_label
_atom_site_type_symbol
_atom_site_fract_x
_atom_site_fract_y
_atom_site_fract_z
_atom_site_occupancy
Cs1 Cs 0.2500 0.2500 0.2500 1
Cs2 Cs 0.7500 0.7500 0.7500 1
Y1 Y 0.0000 0.0000 0.0000 1
In1 In 0.5000 0.5000 0.5000 1
I1 I 0.2374 0.2374 0.7626 1
I2 I 0.2374 0.7626 0.2374 1
I3 I 0.2374 0.7626 0.7626 1
I4 I 0.7626 0.2374 0.2374 1
I5 I 0.7626 0.2374 0.7626 1
I6 I 0.7626 0.7626 0.2374 1
```

ii) VASP calculation (PBE-GGA) on crystalline Cs2YInI6 at its relaxed geometry.

Computed properties:
- V (Å³ per cell) = 1008.8

```
data_Cs2YInI6
_chemical_formula_sum 'Cs4 Y2 In2 I12'
_cell_length_a 8.6978
_cell_length_b 9.1828
_cell_length_c 15.2972
_cell_angle_alpha 90.00
_cell_angle_beta 124.34
_cell_angle_gamma 90.00
_space_group_name_H-M_alt 'P 1'
_space_group_IT_number 1
_space_group_name_Hall 'P 1'
loop_
_atom_site_label
_atom_site_type_symbol
_atom_site_fract_x
_atom_site_fract_y
_atom_site_fract_z
_atom_site_occupancy
Cs1 Cs 0.2254 0.0739 0.2509 1
Cs2 Cs 0.2254 0.4261 0.7509 1
Cs3 Cs 0.7746 0.5739 0.2491 1
Cs4 Cs 0.7746 0.9261 0.7491 1
Y1 Y 0.5000 0.0000 0.0000 1
Y2 Y 0.5000 0.5000 0.5000 1
In1 In 0.0000 0.0000 0.5000 1
In2 In 0.0000 0.5000 0.0000 1
I1 I 0.1714 0.1823 0.9587 1
I2 I 0.1714 0.3177 0.4587 1
I3 I 0.2793 0.7194 0.9593 1
I4 I 0.2793 0.7806 0.4593 1
I5 I 0.3493 0.0133 0.7657 1
I6 I 0.3493 0.4867 0.2657 1
I7 I 0.6507 0.5133 0.7343 1
I8 I 0.6507 0.9867 0.2343 1
I9 I 0.7207 0.2194 0.5407 1
I10 I 0.7207 0.2806 0.0407 1
I11 I 0.8286 0.6823 0.5413 1
I12 I 0.8286 0.8177 0.0413 1
```

Which structure is the least stable? The one labeled i).